Material: SrSi2Tc
Method: DFT, PBE-GGA
State: optimized geometry

Spin magnetization (Bohr magnetons per cell): 0.00
Symmetry: P4mm
Distance to the lowest polymorph of the same formula (eV/f.u.): 1.14
Calculated total energy (eV per atom): -5.77

Cell and atoms, written as POSCAR:
```
SrSi2Tc
1.0
3.288 0.000 0.000
0.000 3.288 0.000
0.000 0.000 7.131
Sr Si Tc
1 2 1
Direct
0.000 0.000 0.000
0.000 0.000 0.466
0.500 0.500 0.676
0.500 0.500 0.343
```

Material: SrSi2Tc
Method: DFT, PBE-GGA
State: optimized geometry

Spin magnetization (Bohr magnetons per cell): 0.00
Symmetry: Cm
Distance to the lowest polymorph of the same formula (eV/f.u.): 0.40
Calculated total energy (eV per atom): -5.95

Cell and atoms, written as POSCAR:
```
SrSi2Tc
1.0
4.034 -1.752 0.000
4.034 1.752 0.000
-3.227 0.000 5.971
Sr Si Tc
1 2 1
Direct
0.000 0.000 0.000
0.140 0.140 0.607
0.441 0.441 0.345
0.789 0.789 0.465
```

Material: Sr2SiTc
Method: DFT, PBE-GGA
State: optimized geometry

Spin magnetization (Bohr magnetons per cell): 0.00
Symmetry: Imm2
Calculated total energy (eV per atom): -4.70

Cell and atoms, written as POSCAR:
```
Sr2SiTc
1.0
-1.998 2.534 5.509
1.998 -2.534 5.509
1.998 2.534 -5.509
Sr Si Tc
2 1 1
Direct
0.000 0.000 0.000
0.716 0.216 0.500
0.289 0.789 0.500
0.397 0.397 0.000
```

Material: SrSi2Tc
Method: DFT, PBE-GGA
State: optimized geometry

Spin magnetization (Bohr magnetons per cell): 0.00
Symmetry: C2/m
Distance to the lowest polymorph of the same formula (eV/f.u.): 0.00
Calculated total energy (eV per atom): -6.05

Cell and atoms, written as POSCAR:
```
SrSi2Tc
1.0
3.863 -1.950 0.000
3.863 1.950 0.000
-2.053 0.000 5.547
Sr Si Tc
1 2 1
Direct
0.000 0.000 0.000
0.212 0.212 0.605
0.788 0.788 0.395
0.500 0.500 0.500
```

Material: Sr2SiTc
Method: DFT, PBE-GGA
State: optimized geometry

Spin magnetization (Bohr magnetons per cell): 2.38
Symmetry: P4/mmm
Calculated total energy (eV per atom): -4.20

Cell and atoms, written as POSCAR:
```
Sr2SiTc
1.0
3.442 0.000 0.000
0.000 3.442 0.000
0.000 0.000 8.831
Sr Si Tc
2 1 1
Direct
0.000 0.000 0.246
0.000 0.000 0.754
0.500 0.500 0.000
0.500 0.500 0.500
```

Material: Sr2SiTc
Method: DFT, PBE-GGA
State: optimized geometry

Spin magnetization (Bohr magnetons per cell): 1.13
Symmetry: I-42d
Calculated total energy (eV per atom): -4.48

Cell and atoms, written as POSCAR:
```
Sr2SiTc
1.0
-5.640 5.640 2.337
5.640 -5.640 2.337
5.640 5.640 -2.337
Sr Si Tc
4 2 2
Direct
0.375 0.185 0.310
0.815 0.125 0.190
0.875 0.065 0.690
0.935 0.625 0.810
0.250 0.750 0.500
0.500 0.500 0.000
0.000 0.000 0.000
0.750 0.250 0.500
```

Material: Sr2SiTc
Method: DFT, PBE-GGA
State: optimized geometry

Spin magnetization (Bohr magnetons per cell): 1.21
Symmetry: R-3m
Calculated total energy (eV per atom): -3.99

Cell and atoms, written as POSCAR:
```
Sr2SiTc
1.0
1.763 1.018 9.856
-1.763 1.018 9.856
0.000 -2.035 9.856
Sr Si Tc
2 1 1
Direct
0.249 0.249 0.249
0.751 0.751 0.751
0.000 0.000 0.000
0.500 0.500 0.500
```

Material: SrSiTc3
Method: DFT, PBE-GGA
State: optimized geometry

Spin magnetization (Bohr magnetons per cell): 5.03
Symmetry: Pm-3m
Distance to the lowest polymorph of the same formula (eV/f.u.): 11.64
Calculated total energy (eV per atom): -4.59

Cell and atoms, written as POSCAR:
```
SrSiTc3
1.0
4.840 0.000 0.000
0.000 4.840 0.000
0.000 0.000 4.840
Sr Si Tc
1 1 3
Direct
0.000 0.000 0.000
0.500 0.500 0.500
0.000 0.000 0.500
0.000 0.500 0.000
0.500 0.000 0.000
```

Material: SrSi2Tc
Method: DFT, PBE-GGA
State: optimized geometry

Spin magnetization (Bohr magnetons per cell): 1.00
Symmetry: C2/m
Distance to the lowest polymorph of the same formula (eV/f.u.): 3.42
Calculated total energy (eV per atom): -5.20

Cell and atoms, written as POSCAR:
```
SrSi2Tc
1.0
2.974 -4.071 0.000
2.974 4.071 0.000
-0.456 0.000 3.060
Sr Si Tc
1 2 1
Direct
0.000 0.000 0.000
0.000 0.500 0.500
0.500 0.000 0.500
0.500 0.500 0.000
```

Material: SrTl2SiTc
Method: DFT, PBE-GGA
State: optimized geometry

Spin magnetization (Bohr magnetons per cell): 3.31
Symmetry: P4/mmm
Calculated total energy (eV per atom): -3.39

Cell and atoms, written as POSCAR:
```
SrTl2SiTc
1.0
5.240 0.000 0.000
0.000 5.240 0.000
0.000 0.000 5.899
Sr Tl Si Tc
1 2 1 1
Direct
0.000 0.000 0.000
0.000 0.500 0.500
0.500 0.000 0.500
0.000 0.000 0.500
0.500 0.500 0.000
```

Material: SrZn2SiTc
Method: DFT, PBE-GGA
State: optimized geometry

Spin magnetization (Bohr magnetons per cell): 0.00
Symmetry: P4/mmm
Calculated total energy (eV per atom): -4.17

Cell and atoms, written as POSCAR:
```
SrZn2SiTc
1.0
4.916 0.000 0.000
0.000 4.916 0.000
0.000 0.000 4.622
Sr Zn Si Tc
1 2 1 1
Direct
0.000 0.000 0.000
0.000 0.500 0.500
0.500 0.000 0.500
0.500 0.500 0.000
0.500 0.500 0.500
```

Material: SrZr2SiTc
Method: DFT, PBE-GGA
State: optimized geometry

Spin magnetization (Bohr magnetons per cell): 1.30
Symmetry: P4/mmm
Calculated total energy (eV per atom): -6.03

Cell and atoms, written as POSCAR:
```
SrZr2SiTc
1.0
4.998 0.000 0.000
0.000 4.998 0.000
0.000 0.000 5.583
Sr Zr Si Tc
1 2 1 1
Direct
0.000 0.000 0.000
0.000 0.500 0.500
0.500 0.000 0.500
0.000 0.000 0.500
0.500 0.500 0.000
```